Record 1
DFT (PBE) results for TbDy12Ho6 after structural relaxation.

Properties
For the energy relative to the elements, the calculation gives 43 kJ/mol of atoms. For the density of states at the Fermi level, the calculation gives 24.3 states/eV/f.u.

a b c (Å): 15.0416 15.0416 9.8653
angles (deg): 90.00 90.00 120.00
With the nearest neighbours (Å) after each atom.
Space group R-3m (No. 166, hexagonal axes)
Symmetry-distinct sites (fractional):
Tb: 0.0000 0.0000 0.0000 (multiplicity 3)  6 Dy 3.43
Dy: 0.0000 0.3900 0.5000 (multiplicity 18)  4 Ho 3.28-3.39, 5 Dy 3.31-3.63
Dy: 0.0716 0.1431 0.2924 (multiplicity 18)  1 Ho 3.04, 2 Dy 3.23
Ho: 0.0513 0.5256 0.2073 (multiplicity 18)  5 Dy 3.04-3.39

=====

Record 2
DFT (PBE) results for PuH2Cl6 after structural relaxation.

Properties
The total DFT energy (no corrections) comes out at -169.125 eV/cell. For the density of states at the Fermi level, the calculation gives 8.9 states/eV/f.u.

a b c (Å): 14.2346 12.0783 6.8187
angles (deg): 90.00 95.31 90.00
With the nearest neighbours (Å) after each atom.
Space group C2/c (No. 15)
Symmetry-distinct sites (fractional):
Pu: 0.0000 0.0942 0.2500 (multiplicity 4)  6 Cl 2.48-2.69
H: 0.1272 0.4750 0.7711 (multiplicity 8)  1 Cl 1.29
Cl: 0.1011 0.0671 0.5981 (multiplicity 8)  2 Pu 2.68-2.69
Cl: 0.1088 0.2360 0.1358 (multiplicity 8)  1 Pu 2.48
Cl: 0.1344 0.4178 0.6127 (multiplicity 8)  1 H 1.29

=====

Calculated spin magnetization in order - 0.0; 4.0 μB/f.u.